A plane-wave DFT calculation with GGA-PBE was carried out for a relaxed structure of MgSc2PS.

Cell lengths 5.291, 4.283, 5.291 Å; angles 90.00, 90.00, 90.00 degrees
Fractional positions:
Sc (0.000, 0.000, 0.500)
Sc (0.500, 0.000, 0.000)
P (0.500, 0.500, 0.500)
S (0.000, 0.500, 0.000)
Mg (0.000, 0.000, 0.000)

Calculated values
As for the space group: P4/mmm, No. 123. The calculation puts the energy at -4.34 eV per atom.


A plane-wave DFT calculation with GGA-PBE was carried out for a relaxed structure of MgScPS2.

Cell lengths 4.712, 4.712, 4.723 Å; angles 90.00, 90.00, 90.00 degrees
Fractional positions:
Sc (0.500, 0.500, 0.500)
P (0.000, 0.000, 0.500)
S (0.000, 0.500, 0.000)
S (0.500, 0.000, 0.000)
Mg (0.000, 0.000, 0.000)

Calculated values
As for the space group: P4/mmm, No. 123. The distance to the lowest polymorph of the same formula is 0.218 eV per atom.


Number 1: density 2.46 g/cm³. Number 2: density 2.60 g/cm³.